# Pm2NdF8

Pm2NdF8 after structural relaxation (PBE, Alexandria via LeMat-Bulk).

a b c (Å): 3.880 6.678 6.725
angles (deg): 119.77 106.77 90.00
Fractional coordinates of all 11 atoms:
F (0.661, 0.875, 0.322)
F (0.339, 0.553, 0.678)
F (0.147, 0.147, 0.294)
F (0.000, 0.309, 0.000)
F (0.853, 0.853, 0.706)
F (0.661, 0.447, 0.322)
F (0.339, 0.125, 0.678)
F (0.000, 0.691, 0.000)
Nd (0.500, 0.000, 0.000)
Pm (0.187, 0.687, 0.374)
Pm (0.813, 0.313, 0.626)

## Properties
The space group is Immm, No. 71. The value obtained for the raw formation energy is -3799 meV/atom. Its uncorrected energy is -6.457 eV per atom. The total magnetic moment is 0.00 μB per cell. The theoretical density comes out at 6.82 g cm⁻³. As for the calculated volume: 142.66 Å³ per cell.